[1]
Compound: Y3Th
Source: the Alexandria database
Functional: GGA-PBE
Structure: relaxed

```
data_Y3Th
_chemical_formula_sum 'Y6 Th2'
_cell_length_a 3.626
_cell_length_b 8.511
_cell_length_c 8.525
_cell_angle_alpha 95.00
_cell_angle_beta 90.00
_cell_angle_gamma 90.00
_symmetry_space_group_name_H-M 'P 1'
_symmetry_Int_Tables_number 1
loop_
_symmetry_equiv_pos_as_xyz
'x,y,z'
loop_
_atom_site_label
_atom_site_type_symbol
_atom_site_fract_x
_atom_site_fract_y
_atom_site_fract_z
Y1 Y 0.250 0.084 0.665
Y2 Y 0.250 0.164 0.084
Y3 Y 0.750 0.836 0.916
Y4 Y 0.250 0.579 0.172
Y5 Y 0.750 0.421 0.828
Y6 Y 0.750 0.916 0.335
Th1 Th 0.250 0.661 0.588
Th2 Th 0.750 0.339 0.412
```

Summary:
Energy relative to the lowest polymorph listed for this composition ... 0.000 eV per formula unit
E_tot ... -6.6753 eV/atom
D(E_F) ... 6.8 states/eV/f.u.
Energy relative to the elements ... 0.028 eV/atom

---

[2]
Compound: YTh3
Source: the Alexandria database
Functional: GGA-PBE
Structure: relaxed

```
data_YTh3
_chemical_formula_sum 'Y1 Th3'
_cell_length_a 3.553
_cell_length_b 8.016
_cell_length_c 6.191
_cell_angle_alpha 49.59
_cell_angle_beta 90.00
_cell_angle_gamma 102.81
_symmetry_space_group_name_H-M 'P 1'
_symmetry_Int_Tables_number 1
loop_
_symmetry_equiv_pos_as_xyz
'x,y,z'
loop_
_atom_site_label
_atom_site_type_symbol
_atom_site_fract_x
_atom_site_fract_y
_atom_site_fract_z
Th1 Th 0.750 0.500 0.750
Th2 Th 0.250 0.500 0.250
Th3 Th 0.500 0.000 0.500
Y1 Y 0.000 0.000 0.000
```

Summary:
Energy relative to the lowest polymorph listed for this composition ... 0.000 eV per formula unit
E_tot ... -7.1360 eV/atom
D(E_F) ... 6.3 states/eV/f.u.
Energy relative to the elements ... 0.045 eV/atom

---

[3]
Compound: YTh
Source: the Alexandria database
Functional: GGA-PBE
Structure: relaxed

```
data_YTh
_chemical_formula_sum 'Y1 Th1'
_cell_length_a 4.014
_cell_length_b 4.014
_cell_length_c 4.014
_cell_angle_alpha 90.00
_cell_angle_beta 90.00
_cell_angle_gamma 90.00
_symmetry_space_group_name_H-M 'P 1'
_symmetry_Int_Tables_number 1
loop_
_symmetry_equiv_pos_as_xyz
'x,y,z'
loop_
_atom_site_label
_atom_site_type_symbol
_atom_site_fract_x
_atom_site_fract_y
_atom_site_fract_z
Y1 Y 0.500 0.500 0.500
Th1 Th 0.000 0.000 0.000
```

Summary:
Energy relative to the lowest polymorph listed for this composition ... 0.292 eV per formula unit
E_tot ... -6.7879 eV/atom
D(E_F) ... 3.2 states/eV/f.u.
Energy relative to the elements ... 0.154 eV/atom

---

[4]
Compound: Y4Th5
Source: the Alexandria database
Functional: GGA-PBE
Structure: relaxed

```
data_Y4Th5
_chemical_formula_sum 'Y4 Th5'
_cell_length_a 8.024
_cell_length_b 5.057
_cell_length_c 9.443
_cell_angle_alpha 74.47
_cell_angle_beta 53.78
_cell_angle_gamma 90.00
_symmetry_space_group_name_H-M 'P 1'
_symmetry_Int_Tables_number 1
loop_
_symmetry_equiv_pos_as_xyz
'x,y,z'
loop_
_atom_site_label
_atom_site_type_symbol
_atom_site_fract_x
_atom_site_fract_y
_atom_site_fract_z
Y1 Y 0.672 0.338 0.325
Y2 Y 0.328 0.662 0.675
Y3 Y 0.891 0.778 0.444
Y4 Y 0.109 0.222 0.556
Th1 Th 0.227 0.447 0.106
Th2 Th 0.000 0.000 0.000
Th3 Th 0.773 0.553 0.894
Th4 Th 0.446 0.892 0.216
Th5 Th 0.554 0.108 0.784
```

Summary:
E_tot ... -6.9498 eV/atom
D(E_F) ... 13.6 states/eV/f.u.
Energy relative to the elements ... 0.045 eV/atom